A plane-wave DFT calculation with PBE was carried out for a relaxed structure of Na2VHgPb.

a = 5.8604 Å, b = 5.8604 Å, c = 5.5863 Å
α = 90.00°, β = 90.00°, γ = 90.00°
Atoms (fractional coordinates):
1 Na 0.0000 0.5000 0.0000
2 Na 0.5000 0.0000 0.0000
3 V 0.0000 0.0000 0.5000
4 Hg 0.5000 0.5000 0.5000
5 Pb 0.5000 0.5000 0.0000

Formation energy from the elements, eV/atom: 0.9028
VASP energy, eV/atom: -2.251



A plane-wave DFT calculation with PBE was carried out for a relaxed structure of NaInNiMo2.

a = 4.6053 Å, b = 4.6053 Å, c = 4.8953 Å
α = 90.00°, β = 90.00°, γ = 90.00°
Atoms (fractional coordinates):
1 Na 0.0000 0.0000 0.0000
2 In 0.5000 0.5000 0.0000
3 Ni 0.5000 0.5000 0.5000
4 Mo 0.0000 0.5000 0.5000
5 Mo 0.5000 0.0000 0.5000

Formation energy from the elements, eV/atom: 1.1317
VASP energy, eV/atom: -5.169



A plane-wave DFT calculation with PBE was carried out for a relaxed structure of Ti2HgPb2.

a = 8.5777 Å, b = 8.5777 Å, c = 3.1611 Å
α = 90.00°, β = 90.00°, γ = 90.00°
Atoms (fractional coordinates):
1 Ti 0.1170 0.3830 0.0000
2 Ti 0.3830 0.8830 0.0000
3 Ti 0.6170 0.1170 0.0000
4 Ti 0.8830 0.6170 0.0000
5 Hg 0.0000 0.0000 0.5000
6 Hg 0.5000 0.5000 0.5000
7 Pb 0.1759 0.6759 0.5000
8 Pb 0.3241 0.1759 0.5000
9 Pb 0.6759 0.8241 0.5000
10 Pb 0.8241 0.3241 0.5000

Formation energy from the elements, eV/atom: 0.2257
VASP energy, eV/atom: -4.476
Energy above the lowest structure with this stoichiometry, meV per atom: 151



A plane-wave DFT calculation with PBE was carried out for a relaxed structure of CsHg2Pt.

a = 9.7704 Å, b = 9.7704 Å, c = 9.7704 Å
α = 143.44°, β = 143.44°, γ = 52.66°
Atoms (fractional coordinates):
1 Cs 0.0000 0.0000 0.0000
2 Cs 0.7500 0.2500 0.5000
3 Hg 0.3678 0.6250 0.2428
4 Hg 0.3750 0.6178 0.7428
5 Hg 0.3822 0.1250 0.7572
6 Hg 0.8750 0.6322 0.2572
7 Pt 0.2500 0.7500 0.5000
8 Pt 0.5000 0.5000 0.0000

Formation energy from the elements, eV/atom: -0.1003
VASP energy, eV/atom: -1.975
Energy above the lowest structure with this stoichiometry, meV per atom: 59



A plane-wave DFT calculation with PBE was carried out for a relaxed structure of PmPr6Y2Th.

a = 8.9744 Å, b = 8.9744 Å, c = 9.7346 Å
α = 93.72°, β = 93.72°, γ = 115.14°
Atoms (fractional coordinates):
1 Pm 0.0943 0.9057 0.7500
2 Pm 0.9057 0.0943 0.2500
3 Pr 0.0187 0.7996 0.3833
4 Pr 0.0774 0.5110 0.1889
5 Pr 0.2004 0.9813 0.1167
6 Pr 0.2620 0.6053 0.5622
7 Pr 0.3947 0.7380 0.9378
8 Pr 0.4890 0.9226 0.3111
9 Pr 0.5110 0.0774 0.6889
10 Pr 0.6053 0.2620 0.0622
11 Pr 0.7380 0.3947 0.4378
12 Pr 0.7996 0.0187 0.8833
13 Pr 0.9226 0.4890 0.8111
14 Pr 0.9813 0.2004 0.6167
15 Y 0.2135 0.3012 0.9451
16 Y 0.3012 0.2135 0.4451
17 Y 0.6988 0.7865 0.5549
18 Y 0.7865 0.6988 0.0549
19 Th 0.4647 0.5353 0.2500
20 Th 0.5353 0.4647 0.7500

Formation energy from the elements, eV/atom: 0.1402
VASP energy, eV/atom: -5.237



A plane-wave DFT calculation with PBE was carried out for a relaxed structure of Ac4SmTl.

a = 3.9619 Å, b = 3.9619 Å, c = 15.2433 Å
α = 90.00°, β = 90.00°, γ = 90.00°
Atoms (fractional coordinates):
1 Ac 0.0000 0.0000 0.1457
2 Ac 0.0000 0.0000 0.8543
3 Ac 0.5000 0.5000 0.3312
4 Ac 0.5000 0.5000 0.6688
5 Sm 0.0000 0.0000 0.5000
6 Tl 0.5000 0.5000 0.0000

Formation energy from the elements, eV/atom: -0.0855
VASP energy, eV/atom: -4.005